# 1
TlCdSeO: optimized geometry, PBE.

Lattice parameters (Å, degrees): 3.9924 3.9924 13.6068 81.56 81.56 60.00
Last column: nearest neighbours and their distance in Å.
Positions (direct):
Tl (0.0000, 0.0000, 0.0000)  6 Se 3.23
Tl (0.5000, 0.5000, 0.5000)  6 O 2.49
Cd (0.7561, 0.7561, 0.7316)  1 O 2.16
Cd (0.2439, 0.2439, 0.2684)  1 O 2.16
Se (0.6104, 0.6104, 0.1688)  3 Cd 2.66
Se (0.3896, 0.3896, 0.8312)  3 Cd 2.66
O (0.1900, 0.1900, 0.4299)  1 Cd 2.16
O (0.8100, 0.8100, 0.5701)  1 Cd 2.16

Summary:
Uncorrected formation energy   -528 meV per atom
Crystal system   trigonal

---

# 2
TlCo2AuN: optimized geometry, PBE.

Lattice parameters (Å, degrees): 4.9781 4.0885 4.9781 90.00 90.00 90.00
Last column: nearest neighbours and their distance in Å.
Positions (direct):
Co (0.0000, 0.0000, 0.5000)  2 Tl 2.49
Co (0.5000, 0.0000, 0.0000)  2 Tl 2.49
Tl (0.0000, 0.0000, 0.0000)  2 N 2.04
Au (0.5000, 0.5000, 0.5000)  8 Co 3.22, 4 N 3.52
N (0.0000, 0.5000, 0.0000)  2 Tl 2.04

Summary:
Uncorrected formation energy   2018 meV per atom
Crystal system   tetragonal

---

# 3
BeFeCoNi2: optimized geometry, PBE.

Lattice parameters (Å, degrees): 4.2486 4.2486 4.2184 90.00 90.00 90.00
Last column: nearest neighbours and their distance in Å.
Positions (direct):
Ni (0.0000, 0.5000, 0.0000)  2 Co 2.12
Ni (0.5000, 0.0000, 0.0000)  2 Co 2.12
Co (0.0000, 0.0000, 0.0000)  2 Fe 2.11, 4 Ni 2.12
Fe (0.0000, 0.0000, 0.5000)  2 Co 2.11
Be (0.5000, 0.5000, 0.5000)  8 Ni 2.99, 4 Fe 3.00

Summary:
ΔH_f (0 K)   1.207 eV per atom
Crystal system   tetragonal

---

# 4
Ce5PrTl8: optimized geometry, PBE.

Lattice parameters (Å, degrees): 8.2655 8.2655 8.2655 109.55 109.32 109.55
Last column: nearest neighbours and their distance in Å.
Positions (direct):
Ce (0.0012, 0.3762, 0.1251)  8 Tl 3.29-3.31
Ce (0.8749, 0.8761, 0.2510)  8 Tl 3.29-3.31
Ce (0.7490, 0.6238, 0.6250)  8 Tl 3.29-3.31
Ce (0.5000, 0.0000, 0.5000)  8 Tl 3.31
Ce (0.3750, 0.1239, 0.9988)  8 Tl 3.29-3.31
Pr (0.2500, 0.5000, 0.7500)  8 Tl 3.32
Tl (0.1232, 0.7509, 0.0430)  5 Ce 3.29-3.31, 1 Pr 3.32, 3 Tl 3.53-3.59
Tl (0.9570, 0.0803, 0.7079)  5 Ce 3.29-3.31, 1 Pr 3.32, 3 Tl 3.53-3.59
Tl (0.7905, 0.2500, 0.3727)  5 Ce 3.30-3.31, 1 Pr 3.32, 3 Tl 3.53-3.59
Tl (0.6273, 0.4177, 0.8773)  5 Ce 3.30-3.31, 1 Pr 3.32, 3 Tl 3.53-3.59
Tl (0.4595, 0.5823, 0.2095)  5 Ce 3.30-3.31, 1 Pr 3.32, 3 Tl 3.53-3.59
Tl (0.6277, 0.9197, 0.8768)  5 Ce 3.29-3.31, 1 Pr 3.32, 3 Tl 3.53-3.59
Tl (0.2921, 0.2491, 0.3723)  5 Ce 3.29-3.31, 1 Pr 3.32, 3 Tl 3.53-3.59
Tl (0.1227, 0.7500, 0.5405)  5 Ce 3.30-3.31, 1 Pr 3.32, 3 Tl 3.53-3.59

Summary:
ΔH_f (0 K)   -0.168 eV per atom
Crystal system   tetragonal

---

# 5
CaSbRhI2: optimized geometry, PBE.

Lattice parameters (Å, degrees): 5.9044 5.9044 6.2034 90.00 90.00 90.00
Last column: nearest neighbours and their distance in Å.
Positions (direct):
I (0.0000, 0.5000, 0.0000)  2 Ca 2.95
I (0.5000, 0.0000, 0.0000)  2 Ca 2.95
Sb (0.0000, 0.0000, 0.5000)  2 Ca 3.10
Ca (0.0000, 0.0000, 0.0000)  4 I 2.95, 2 Sb 3.10
Rh (0.5000, 0.5000, 0.5000)  4 Sb 4.18, 8 I 4.28

Summary:
Uncorrected formation energy   578 meV per atom
Crystal system   tetragonal
Energy relative to the lowest polymorph listed for this composition   832 meV/atom

---

# 6
AcPr4Nd3Te8: optimized geometry, PBE.

Lattice parameters (Å, degrees): 9.1045 9.0874 9.1012 120.03 120.01 90.00
Last column: nearest neighbours and their distance in Å.
Positions (direct):
Ac (0.0000, 0.5000, 0.0000)  6 Te 3.27
Pr (0.5000, 0.0000, 0.0000)  6 Te 3.17
Pr (0.5000, 0.0000, 0.5000)  6 Te 3.23
Pr (0.0000, 0.0000, 0.0000)  6 Te 3.23
Pr (0.0000, 0.0000, 0.5000)  6 Te 3.23
Nd (0.5000, 0.5000, 0.0000)  6 Te 3.20
Nd (0.5000, 0.5000, 0.5000)  6 Te 3.20
Nd (0.0000, 0.5000, 0.5000)  6 Te 3.20
Te (0.2539, 0.7520, 0.9981)  3 Pr 3.17-3.23, 2 Nd 3.20, 1 Ac 3.27
Te (0.2539, 0.7520, 0.5078)  3 Pr 3.17-3.23, 2 Nd 3.20, 1 Ac 3.27
Te (0.2509, 0.2527, 0.5018)  3 Nd 3.20, 3 Pr 3.23
Te (0.7442, 0.7520, 0.9981)  3 Pr 3.17-3.23, 2 Nd 3.20, 1 Ac 3.27
Te (0.2558, 0.2480, 0.0019)  3 Pr 3.17-3.23, 2 Nd 3.20, 1 Ac 3.27
Te (0.7491, 0.7473, 0.4982)  3 Nd 3.20, 3 Pr 3.23
Te (0.7461, 0.2480, 0.4922)  3 Pr 3.17-3.23, 2 Nd 3.20, 1 Ac 3.27
Te (0.7461, 0.2480, 0.0019)  3 Pr 3.17-3.23, 2 Nd 3.20, 1 Ac 3.27

Summary:
Uncorrected formation energy   -1431 meV per atom
Crystal system   trigonal

---

# 7
LiIn2Ag: optimized geometry, PBE.

Lattice parameters (Å, degrees): 4.2351 3.0834 6.9983 63.99 90.00 90.00
Last column: nearest neighbours and their distance in Å.
Positions (direct):
Li (0.5000, 0.2500, 0.2500)  8 In 3.04, 2 Li 3.08, 2 Ag 3.14
Ag (0.5000, 0.7500, 0.7500)  8 In 3.06-3.07, 2 Ag 3.08, 2 Li 3.14
In (0.0000, 0.9949, 0.0039)  4 Li 3.04, 4 Ag 3.06-3.07, 4 In 3.08-3.19
In (0.0000, 0.5051, 0.4961)  4 Li 3.04, 4 Ag 3.06-3.07, 4 In 3.08-3.19

Summary:
ΔH_f (0 K)   -0.139 eV per atom
Crystal system   monoclinic

---

# 8
Pa2Te4Au: optimized geometry, PBE.

Lattice parameters (Å, degrees): 5.0296 6.2905 6.2905 103.78 90.00 90.00
Last column: nearest neighbours and their distance in Å.
Positions (direct):
Pa (0.0000, 0.7373, 0.2627)  8 Te 3.15-3.18, 2 Au 3.44
Pa (0.0000, 0.2627, 0.7373)  8 Te 3.15-3.18, 2 Au 3.44
Te (0.0000, 0.7714, 0.7714)  4 Pa 3.15-3.16, 2 Au 3.28
Te (0.0000, 0.2286, 0.2286)  4 Pa 3.15-3.16, 2 Au 3.28
Te (0.5000, 0.0000, 0.5000)  2 Au 3.15, 4 Pa 3.18
Te (0.5000, 0.5000, 0.0000)  2 Au 3.15, 4 Pa 3.18
Au (0.5000, 0.5000, 0.5000)  8 Te 3.15-3.28, 4 Pa 3.44

Summary:
Uncorrected formation energy   -553 meV per atom
Crystal system   orthorhombic